# PBE BeTl2CdAs2, relaxed
data_BeTl2CdAs2
_chemical_formula_sum 'Be4 Tl8 Cd4 As8'
_space_group_name_H-M_alt 'I b a m'
_space_group_IT_number 72
_space_group_name_Hall '-I 2 2c'
_cell_length_a 5.790
_cell_length_b 17.228
_cell_length_c 5.859
_cell_angle_alpha 90.00
_cell_angle_beta 90.00
_cell_angle_gamma 90.00
loop_
_atom_site_label
_atom_site_type_symbol
_atom_site_fract_x
_atom_site_fract_y
_atom_site_fract_z
Be1 Be 0.000 0.000 0.250
Tl1 Tl 0.212 0.321 0.000
Cd1 Cd 0.000 0.500 0.250
As1 As 0.187 0.089 0.000
# energy of formation = -27.4 meV/atom
# ρ = 7.7 Mg/m³
# spin magnetization = 0.0000 μB per atom